# 1
Computed, not measured: a relaxed structure of LaSmTm at the PBE level of DFT.

Summary:
The value obtained for the energy above the most stable polymorph in this dataset is 4 meV per atom. The calculation puts the density of states at the Fermi level at 1.6254 states/eV/atom.

Cell lengths 3.644, 3.644, 15.288 Å; angles 90.00, 90.00, 90.00 degrees
Space group I4mm (No. 107)
Unique sites:
La 0.000 0.000 0.000 x2
Sm 0.000 0.000 0.672 x2
Tm 0.000 0.000 0.332 x2


# 2
Computed, not measured: a relaxed structure of LaSm5Tm at the PBE level of DFT.

Summary:
The calculation puts the density of states at the Fermi level at 1.3188 states/eV/atom.

Cell lengths 6.294, 6.294, 7.000 Å; angles 99.61, 99.48, 111.80 degrees
Space group P-1 (No. 2)
Unique sites:
La 0.000 0.000 0.000 x1
Sm 0.093 0.527 0.273 x2
Sm 0.474 0.907 0.727 x2
Sm 0.500 0.500 0.000 x1
Tm 0.000 0.000 0.500 x1


# 3
Computed, not measured: a relaxed structure of La8Sm3Tm2 at the PBE level of DFT.

Summary:
The value obtained for the energy above the most stable polymorph in this dataset is 35 meV per atom. The calculation puts the density of states at the Fermi level at 1.3921 states/eV/atom.

Cell lengths 20.541, 7.750, 5.904 Å; angles 90.00, 90.03, 90.00 degrees
Space group C2/m (No. 12)
Unique sites:
La 0.107 0.203 0.000 x8
La 0.134 0.500 0.499 x4
La 0.176 0.000 0.501 x4
Sm 0.000 0.217 0.500 x4
Sm 0.000 0.500 0.000 x2
Tm 0.241 0.500 0.998 x4


Number 1: formation energy 33 meV per atom, VASP energy -4.673 eV per atom, magnetization 0.0 μB/f.u.. Number 2: formation energy 201 meV per atom, VASP energy -4.513 eV per atom, magnetization 0.0 μB/f.u.. Number 3: formation energy 183 meV per atom, VASP energy -4.627 eV per atom, magnetization 0.0 μB/f.u..